NaCrO2 | PBE with a Hubbard U | relaxed

Results
**Size of the total moment**: 12.00 μB/cell
**Energy**: -5.713 eV/atom

a = 5.381 Å, b = 5.381 Å, c = 5.381 Å
α = 90.00°, β = 90.00°, γ = 90.00°
Space group Fm-3m (No. 225)
Asymmetric unit:
1 Na 0.000 0.000 0.000 x4
2 Cr 0.000 0.000 0.500 x4
3 O 0.250 0.250 0.250 x8